No. 1
! YS, relaxed, DFT PBE; values from VASP
! - Symmetry: P6_3/m (176)
! - DFT total energy: -0.5078 Ry/atom
! - V: 33.69 A^3/atom
! - E_form (uncorrected): -1.61 eV per atom
! - ρ: 2.98 g cm⁻³
&SYSTEM
  ibrav = 0, nat = 12, ntyp = 2
/
ATOMIC_SPECIES
Y 88.91 Y.upf
S 32.06 S.upf
CELL_PARAMETERS angstrom
10.175 0.000 0.000
-5.088 8.812 0.000
0.000 0.000 4.508
ATOMIC_POSITIONS crystal
Y 0.867 0.327 0.250
Y 0.540 0.867 0.750
Y 0.673 0.540 0.250
Y 0.133 0.673 0.750
Y 0.460 0.133 0.250
Y 0.327 0.460 0.750
S 0.663 0.027 0.250
S 0.636 0.663 0.750
S 0.973 0.636 0.250
S 0.337 0.973 0.750
S 0.364 0.337 0.250
S 0.027 0.364 0.750

No. 2
! Y4S5, relaxed, DFT PBE; values from VASP
! - Symmetry: Immm (71)
! - DFT total energy: -0.4916 Ry/atom
! - V: 21.48 A^3/atom
! - E_form (uncorrected): -1.52 eV per atom
! - ρ: 4.43 g cm⁻³
&SYSTEM
  ibrav = 0, nat = 9, ntyp = 2
/
ATOMIC_SPECIES
Y 88.91 Y.upf
S 32.06 S.upf
CELL_PARAMETERS angstrom
3.598 0.001 0.001
1.793 7.668 1.355
1.793 2.353 7.423
ATOMIC_POSITIONS crystal
Y 0.369 0.584 0.679
Y 0.369 0.012 0.251
Y 0.631 0.749 0.988
Y 0.631 0.321 0.416
S 0.000 0.023 0.977
S 0.000 0.311 0.689
S 0.000 0.667 0.333
S 0.247 0.420 0.087
S 0.753 0.913 0.580

no.,D(E_F) (states/eV/atom)
1,0.380
2,0.556